[1]
A plane-wave DFT calculation with PBE-GGA was carried out for a relaxed structure of LuAlCdAg.

It has space group F-43m (No. 216), with a = 6.855 Å, b = 6.855 Å, c = 6.855 Å, α = 90.00°, β = 90.00° and γ = 90.00°. The asymmetric unit holds Lu at (0.000, 0.000, 0.000), Al at (0.000, 0.000, 0.500), Cd at (0.250, 0.250, 0.250) and Ag at (0.250, 0.250, 0.750).

For the energy of formation from the pure elements, the calculation gives -0.22 eV/atom. The total magnetization is 0.00 Bohr magnetons per cell.



[2]
A plane-wave DFT calculation with PBE-GGA was carried out for a relaxed structure of KTa2Sb.

It has space group C2/m (No. 12), with a = 6.362 Å, b = 11.179 Å, c = 2.856 Å, α = 90.00°, β = 116.56° and γ = 90.00°. The asymmetric unit holds K at (0.000, 0.000, 0.000), Ta at (0.250, 0.250, 0.000) and Sb at (0.000, 0.500, 0.000).

The total magnetization is 0.00 Bohr magnetons per cell. As for the raw formation energy: 0.975 eV/atom.



[3]
A plane-wave DFT calculation with PBE-GGA was carried out for a relaxed structure of K2LiAuO.

It has space group P4/mmm (No. 123), with a = 5.637 Å, b = 5.637 Å, c = 3.740 Å, α = 90.00°, β = 90.00° and γ = 90.00°. The asymmetric unit holds K at (0.000, 0.500, 0.000), Li at (0.000, 0.000, 0.500), Au at (0.500, 0.500, 0.500) and O at (0.000, 0.000, 0.000).

The total magnetization is 0.00 Bohr magnetons per cell. As for the raw formation energy: -0.912 eV/atom.



[4]
A plane-wave DFT calculation with PBE-GGA was carried out for a relaxed structure of Ca3Si8Ir3.

It has space group C2/m (No. 12), with a = 16.100 Å, b = 4.067 Å, c = 8.673 Å, α = 90.00°, β = 119.00° and γ = 90.00°. The asymmetric unit holds Ca at (0.000, 0.000, 0.000), Ca at (0.214, 0.500, 0.675), Si at (0.024, 0.500, 0.701), Si at (0.114, 0.000, 0.397), Si at (0.128, 0.500, 0.261), Si at (0.179, 0.000, 0.906), Ir at (0.000, 0.000, 0.500) and Ir at (0.152, 0.500, 0.010).

The energy above the lowest structure with this stoichiometry is 0.000 eV per atom. The total magnetization is 0.00 Bohr magnetons per cell. As for the raw formation energy: -0.532 eV/atom.



[5]
A plane-wave DFT calculation with PBE-GGA was carried out for a relaxed structure of Dy15Tm2Sc2.

It has space group R-3m (No. 166, hexagonal axes), with a = 10.9892 Å, b = 10.9892 Å, c = 17.4763 Å, α = 90.00°, β = 90.00° and γ = 120.00°. The asymmetric unit holds Dy at (0.0000, 0.2952, 0.0000), Dy at (0.0000, 0.5000, 0.5000), Dy at (0.0114, 0.5057, 0.1354), Tm at (0.0000, 0.0000, 0.3179) and Sc at (0.0000, 0.0000, 0.0904).

For the energy of formation from the pure elements, the calculation gives 0.30 eV/atom. The total magnetization is 0.02 Bohr magnetons per cell.



[6]
A plane-wave DFT calculation with PBE-GGA was carried out for a relaxed structure of Zn4In2Fe.

It has space group I4/mmm (No. 139), with a = 4.676 Å, b = 4.676 Å, c = 13.648 Å, α = 90.00°, β = 90.00° and γ = 90.00°. The asymmetric unit holds Zn at (0.000, 0.000, 0.173), Zn at (0.000, 0.500, 0.000), In at (0.000, 0.000, 0.370) and Fe at (0.000, 0.000, 0.000).

For the energy of formation from the pure elements, the calculation gives 0.34 eV/atom. The total magnetization is 2.65 Bohr magnetons per cell.



[7]
A plane-wave DFT calculation with PBE-GGA was carried out for a relaxed structure of ReSiSb2.

It has space group Imm2 (No. 44), with a = 3.191 Å, b = 4.409 Å, c = 12.160 Å, α = 90.00°, β = 90.00° and γ = 90.00°. The asymmetric unit holds Re at (0.000, 0.000, 0.000), Si at (0.000, 0.500, 0.346), Sb at (0.000, 0.000, 0.538) and Sb at (0.000, 0.500, 0.725).

The total magnetization is 0.00 Bohr magnetons per cell. As for the raw formation energy: 0.530 eV/atom.



[8]
A plane-wave DFT calculation with PBE-GGA was carried out for a relaxed structure of Ho2TmCo.

It has space group Pnma (No. 62), with a = 6.906 Å, b = 9.322 Å, c = 6.165 Å, α = 90.00°, β = 90.00° and γ = 90.00°. The asymmetric unit holds Ho at (0.176, 0.067, 0.177), Tm at (0.042, 0.250, 0.642) and Co at (0.113, 0.750, 0.955).

For the energy of formation from the pure elements, the calculation gives -0.18 eV/atom. The energy above the lowest structure with this stoichiometry is 0.000 eV per atom. The total magnetization is 0.00 Bohr magnetons per cell.



[9]
A plane-wave DFT calculation with PBE-GGA was carried out for a relaxed structure of YMgRu.

It has space group F-43m (No. 216), with a = 6.531 Å, b = 6.531 Å, c = 6.531 Å, α = 90.00°, β = 90.00° and γ = 90.00°. The asymmetric unit holds Y at (0.000, 0.000, 0.000), Mg at (0.000, 0.000, 0.500) and Ru at (0.250, 0.250, 0.250).

For the energy of formation from the pure elements, the calculation gives 0.04 eV/atom. The total magnetization is 0.00 Bohr magnetons per cell.



[10]
A plane-wave DFT calculation with PBE-GGA was carried out for a relaxed structure of Zr7In2H2.

It has space group C2/m (No. 12), with a = 10.884 Å, b = 6.701 Å, c = 6.097 Å, α = 90.00°, β = 98.48° and γ = 90.00°. The asymmetric unit holds Zr at (0.000, 0.000, 0.000), Zr at (0.070, 0.500, 0.835), Zr at (0.212, 0.262, 0.239), In at (0.000, 0.200, 0.500) and H at (0.238, 0.000, 0.002).

The electronic total energy comes out at -6.523 eV per atom. The total magnetization is 0.00 Bohr magnetons per cell.



[11]
A plane-wave DFT calculation with PBE-GGA was carried out for a relaxed structure of V7Re2Ru3.

It has space group Cmmm (No. 65), with a = 4.224 Å, b = 20.414 Å, c = 4.194 Å, α = 90.00°, β = 90.00° and γ = 90.00°. The asymmetric unit holds V at (0.000, 0.000, 0.000), V at (0.000, 0.077, 0.500), V at (0.000, 0.286, 0.000), V at (0.000, 0.429, 0.000), Re at (0.000, 0.148, 0.000), Ru at (0.000, 0.351, 0.500) and Ru at (0.000, 0.500, 0.500).

For the energy of formation from the pure elements, the calculation gives 0.07 eV/atom. The total magnetization is 0.00 Bohr magnetons per cell.



[12]
A plane-wave DFT calculation with PBE-GGA was carried out for a relaxed structure of Y2Be3.

It has space group Fdd2 (No. 43), with a = 8.766 Å, b = 14.633 Å, c = 5.472 Å, α = 90.00°, β = 90.00° and γ = 90.00°. The asymmetric unit holds Y at (0.081, 0.202, 0.000), Be at (0.000, 0.000, 0.262) and Be at (0.084, 0.126, 0.492).

For the energy of formation from the pure elements, the calculation gives 0.08 eV/atom. The energy above the lowest structure with this stoichiometry is 0.144 eV per atom. The total magnetization is 0.00 Bohr magnetons per cell.